1.
A relaxed NdY3Zr4O14 crystal, computed with PBE.

a b c (Å): 7.4965 7.4965 18.0151
angles (deg): 90.00 90.00 120.00
Space group R-3m (No. 166, hexagonal axes)
One atom of each set of equivalent atoms:
Nd 0.0000 0.0000 0.0000 x3
Y 0.0000 0.5000 0.5000 x9
Zr 0.0000 0.0000 0.5000 x3
Zr 0.0000 0.5000 0.0000 x9
O 0.0000 0.0000 0.3779 x6
O 0.0054 0.5027 0.8728 x18
O 0.0084 0.5042 0.3740 x18

Properties
For the total moment, the calculation gives 0.000 μB/atom. The energy relative to the elements, uncorrected is -69.0 eV per formula unit.

=====

2.
A relaxed YbNdO3 crystal, computed with PBE.

a b c (Å): 4.247 4.247 4.247
angles (deg): 90.00 90.00 90.00
Space group Pm-3m (No. 221)
One atom of each set of equivalent atoms:
Yb 0.000 0.000 0.000 x1
Nd 0.500 0.500 0.500 x1
O 0.000 0.000 0.500 x3

Properties
For the total moment, the calculation gives 0.194 μB/atom. The energy relative to the elements, uncorrected is -12.5 eV per formula unit.